A relaxed La2HgBr crystal. Source: Alexandria via LeMat-Bulk, functional GGA-PBE.

abc: 6.3971 6.3971 5.2687
angles: 89.99 89.99 33.90
Last column: nearest neighbours and their distance in Å.
Atoms (fractional coordinates):
Hg  0.2598  0.2598  0.1251  7 La 3.20-3.46
Br  0.4953  0.4953  0.6249  5 La 3.08-3.23
La  0.9982  0.9982  0.1249  3 Hg 3.20-3.46, 4 Br 3.23
La  0.7466  0.7466  0.6251  1 Br 3.08, 4 Hg 3.23

Properties
Fermi-level density of states (states/eV per atom): 0.8388


A relaxed La2HgBr crystal. Source: Alexandria via LeMat-Bulk, functional GGA-PBE.

abc: 4.4445 4.4445 6.3740
angles: 90.00 90.00 90.00
Last column: nearest neighbours and their distance in Å.
Atoms (fractional coordinates):
Hg  0.5000  0.5000  0.8749  6 La 3.14-3.19
Br  0.0000  0.0000  0.3749  6 La 3.14-3.19
La  0.0000  0.0000  0.8751  4 Hg 3.14, 2 Br 3.19
La  0.5000  0.5000  0.3750  4 Br 3.14, 2 Hg 3.19

Properties
Fermi-level density of states (states/eV per atom): 0.7837


A relaxed La2HgBr crystal. Source: Alexandria via LeMat-Bulk, functional GGA-PBE.

abc: 5.4952 5.4952 5.4952
angles: 60.00 60.00 60.00
Last column: nearest neighbours and their distance in Å.
Atoms (fractional coordinates):
Hg  0.7500  0.7500  0.7500  4 La 3.37, 4 Br 3.37
Br  0.5000  0.5000  0.5000  4 La 3.37, 4 Hg 3.37
La  0.0000  0.0000  0.0000  4 Hg 3.37, 4 La 3.37
La  0.2500  0.2500  0.2500  4 La 3.37, 4 Br 3.37

Properties
Fermi-level density of states (states/eV per atom): 1.6543


A relaxed LaHgBr3 crystal. Source: Alexandria via LeMat-Bulk, functional GGA-PBE.

abc: 5.8965 5.8965 5.8965
angles: 90.00 90.00 90.00
Last column: nearest neighbours and their distance in Å.
Atoms (fractional coordinates):
Hg  0.5000  0.5000  0.5000  12 Br 4.17
Br  0.0000  0.5000  0.0000  2 La 2.95
Br  0.0000  0.0000  0.5000  2 La 2.95
Br  0.5000  0.0000  0.0000  2 La 2.95
La  0.0000  0.0000  0.0000  6 Br 2.95

Properties
Fermi-level density of states (states/eV per atom): 0.0000


A relaxed La2HgBr crystal. Source: Alexandria via LeMat-Bulk, functional GGA-PBE.

abc: 10.7837 10.7837 10.7837
angles: 21.07 21.07 21.07
Last column: nearest neighbours and their distance in Å.
Atoms (fractional coordinates):
Hg  0.7456  0.7456  0.7456  3 La 3.32
Br  0.5096  0.5096  0.5096  3 La 3.10
La  0.0023  0.0023  0.0023  3 Hg 3.32, 3 La 3.72
La  0.2426  0.2426  0.2426  3 Br 3.10

Properties
Fermi-level density of states (states/eV per atom): 0.7011


A relaxed La4HgBr2 crystal. Source: Alexandria via LeMat-Bulk, functional GGA-PBE.

abc: 4.1519 7.3338 15.3762
angles: 90.00 90.00 106.44
Last column: nearest neighbours and their distance in Å.
Atoms (fractional coordinates):
Hg  0.4026  0.8053  0.2500  6 La 3.20-3.25
Hg  0.5974  0.1947  0.7500  6 La 3.20-3.25
Br  0.8576  0.7152  0.9343  6 La 2.98-3.07
Br  0.1424  0.2848  0.0657  6 La 2.98-3.07
Br  0.8576  0.7152  0.5657  6 La 2.98-3.07
Br  0.1424  0.2848  0.4343  6 La 2.98-3.07
La  0.2094  0.4188  0.6237  3 Br 3.06-3.07, 2 Hg 3.25
La  0.7906  0.5812  0.3763  3 Br 3.06-3.07, 2 Hg 3.25
La  0.7906  0.5812  0.1237  3 Br 3.06-3.07, 2 Hg 3.25
La  0.2094  0.4188  0.8763  3 Br 3.06-3.07, 2 Hg 3.25
La  0.9241  0.8483  0.7500  2 Br 2.98, 2 Hg 3.20
La  0.0759  0.1517  0.2500  2 Br 2.98, 2 Hg 3.20
La  0.5000  0.0000  0.0000  4 Br 3.06
La  0.5000  0.0000  0.5000  4 Br 3.06

Properties
Fermi-level density of states (states/eV per atom): 1.2388


A relaxed La2HgBr crystal. Source: Alexandria via LeMat-Bulk, functional GGA-PBE.

abc: 8.4682 8.4682 8.4682
angles: 153.08 152.45 38.90
Last column: nearest neighbours and their distance in Å.
Atoms (fractional coordinates):
Hg  0.2979  0.7979  0.5000  6 La 3.22
Br  0.5464  0.5464  0.0000  6 La 3.16-3.18
La  0.9550  0.9550  0.0000  4 Br 3.18, 2 Hg 3.22
La  0.7007  0.2007  0.5000  2 Br 3.16, 4 Hg 3.22

Properties
Fermi-level density of states (states/eV per atom): 0.7714


A relaxed La6Hg5Br crystal. Source: Alexandria via LeMat-Bulk, functional GGA-PBE.

abc: 5.4305 7.9562 9.4872
angles: 114.79 106.63 90.00
Last column: nearest neighbours and their distance in Å.
Atoms (fractional coordinates):
Hg  0.6784  0.1784  0.3567  8 La 3.29-3.51
Hg  0.3322  0.3322  0.6643  8 La 3.38-3.41, 2 Hg 3.70
Hg  0.0000  0.5000  0.0000  8 La 3.33-3.38
Hg  0.6678  0.6678  0.3357  8 La 3.38-3.41, 2 Hg 3.70
Hg  0.3216  0.8216  0.6433  8 La 3.29-3.51
Br  0.0000  0.0000  0.0000  8 La 3.30-3.35
La  0.8376  0.5910  0.6752  7 Hg 3.29-3.40, 1 Br 3.30
La  0.8376  0.0842  0.6752  7 Hg 3.29-3.40, 1 Br 3.30
La  0.5000  0.7534  0.0000  2 Br 3.35, 6 Hg 3.38-3.51
La  0.5000  0.2466  0.0000  2 Br 3.35, 6 Hg 3.38-3.51
La  0.1624  0.9158  0.3248  7 Hg 3.29-3.40, 1 Br 3.30
La  0.1624  0.4090  0.3248  7 Hg 3.29-3.40, 1 Br 3.30

Properties
Fermi-level density of states (states/eV per atom): 1.3711


A relaxed La2HgBr crystal. Source: Alexandria via LeMat-Bulk, functional GGA-PBE.

abc: 6.2309 6.2309 9.3557
angles: 70.55 70.55 90.00
Last column: nearest neighbours and their distance in Å.
Atoms (fractional coordinates):
Hg  0.0000  0.0000  0.0000  4 La 3.05
Hg  0.7500  0.2500  0.5000  4 La 3.05
Br  0.5000  0.5000  0.0000  4 La 2.99
Br  0.2500  0.7500  0.5000  4 La 2.99
La  0.6150  0.1250  0.2500  2 Br 2.99, 2 Hg 3.05
La  0.1350  0.6250  0.2500  2 Br 2.99, 2 Hg 3.05
La  0.3750  0.3850  0.7500  2 Br 2.99, 2 Hg 3.05
La  0.8750  0.8650  0.7500  2 Br 2.99, 2 Hg 3.05

Properties
Fermi-level density of states (states/eV per atom): 1.7735


A relaxed LaHg2Br8 crystal. Source: Alexandria via LeMat-Bulk, functional GGA-PBE.

abc: 6.9880 8.5313 8.5313
angles: 64.12 100.91 100.91
Last column: nearest neighbours and their distance in Å.
Atoms (fractional coordinates):
La  0.0000  0.0000  0.0000  6 Br 2.95-2.99
Hg  0.6941  0.2008  0.2008  4 Br 2.55-2.74
Hg  0.3059  0.7992  0.7992  4 Br 2.55-2.74
Br  0.2219  0.1308  0.6909  1 Hg 2.71, 1 La 2.99
Br  0.2219  0.6909  0.1308  1 Hg 2.71, 1 La 2.99
Br  0.7781  0.8692  0.3091  1 Hg 2.71, 1 La 2.99
Br  0.1724  0.6200  0.6200  1 Hg 2.55
Br  0.7781  0.3091  0.8692  1 Hg 2.71, 1 La 2.99
Br  0.2946  0.1813  0.1813  1 Hg 2.74, 1 La 2.95
Br  0.7054  0.8187  0.8187  1 Hg 2.74, 1 La 2.95
Br  0.8276  0.3800  0.3800  1 Hg 2.55

Properties
Fermi-level density of states (states/eV per atom): 1.1579


A relaxed La4HgBr6 crystal. Source: Alexandria via LeMat-Bulk, functional GGA-PBE.

abc: 7.4138 10.1773 10.1773
angles: 90.00 90.00 90.00
Last column: nearest neighbours and their distance in Å.
Atoms (fractional coordinates):
La  0.3088  0.0000  0.2475  1 Hg 2.89, 4 Br 3.13-3.21
La  0.8088  0.7475  0.5000  1 Hg 2.89, 4 Br 3.13-3.21
La  0.8088  0.2525  0.5000  1 Hg 2.89, 4 Br 3.13-3.21
La  0.3088  0.0000  0.7525  1 Hg 2.89, 4 Br 3.13-3.21
La  0.1912  0.5000  0.7475  1 Hg 2.89, 4 Br 3.13-3.21
La  0.6912  0.2475  0.0000  1 Hg 2.89, 4 Br 3.13-3.21
La  0.6912  0.7525  0.0000  1 Hg 2.89, 4 Br 3.13-3.21
La  0.1912  0.5000  0.2525  1 Hg 2.89, 4 Br 3.13-3.21
Hg  0.0000  0.5000  0.5000  4 La 2.89
Hg  0.5000  0.0000  0.0000  4 La 2.89
Br  0.5000  0.7150  0.2850  4 La 3.18-3.25
Br  0.5000  0.2850  0.2850  4 La 3.18-3.25
Br  0.0499  0.0000  0.5000  4 La 3.13-3.21
Br  0.5499  0.0000  0.5000  4 La 3.13-3.21
Br  0.5000  0.2850  0.7150  4 La 3.18-3.25
Br  0.5000  0.7150  0.7150  4 La 3.18-3.25
Br  0.0000  0.7850  0.7850  4 La 3.18-3.25
Br  0.0000  0.2150  0.7850  4 La 3.18-3.25
Br  0.9501  0.5000  0.0000  4 La 3.13-3.21
Br  0.4501  0.5000  0.0000  4 La 3.13-3.21
Br  0.0000  0.7850  0.2150  4 La 3.18-3.25
Br  0.0000  0.2150  0.2150  4 La 3.18-3.25


A relaxed La4HgBr crystal. Source: Alexandria via LeMat-Bulk, functional GGA-PBE.

abc: 6.5086 6.5086 6.5086
angles: 60.00 60.00 60.00
Last column: nearest neighbours and their distance in Å.
Atoms (fractional coordinates):
La  0.8816  0.3728  0.3728  6 La 3.20-3.31
La  0.3728  0.3728  0.8816  6 La 3.20-3.31
La  0.3728  0.8816  0.3728  6 La 3.20-3.31
La  0.3728  0.3728  0.3728  6 La 3.20-3.31
Hg  0.0000  0.0000  0.0000  12 La 3.81, 4 Br 3.99
Br  0.7500  0.7500  0.7500  12 La 3.82, 4 Hg 3.99

Properties
Fermi-level density of states (states/eV per atom): 1.7725


| no. | E_form (uncorrected) (meV/atom) | E (eV per atom) |
| --- | --- | --- |
| 1 | -815 | -3.77 |
| 2 | -898 | -3.86 |
| 3 | -178 | -3.14 |
| 4 | -1500 | -3.55 |
| 5 | -611 | -3.57 |
| 6 | -852 | -4.19 |
| 7 | -771 | -3.73 |
| 8 | -579 | -3.31 |
| 9 | -465 | -3.42 |
| 10 | -844 | -2.56 |
| 11 | -1400 | -4.13 |
| 12 | 55 | -3.56 |